No. 1
DFT (PBE-GGA) results for a geometry-optimized Sr2GaSi3Ir4 structure.

a b c (Å): 4.230 4.230 10.174
angles (deg): 90.00 90.00 90.00
Space group P-4m2 (No. 115)
Symmetry-distinct sites (fractional):
Sr 0.000 0.500 0.250 (multiplicity 2)
Ga 0.000 0.000 0.500 (multiplicity 1)
Si 0.000 0.500 0.877 (multiplicity 2)
Si 0.500 0.500 0.500 (multiplicity 1)
Ir 0.000 0.000 0.000 (multiplicity 1)
Ir 0.000 0.500 0.633 (multiplicity 2)
Ir 0.500 0.500 0.000 (multiplicity 1)

Results
The electronic total energy comes out at -65.81 eV/cell.

No. 2
DFT (PBE-GGA) results for a geometry-optimized Ca2MnRh structure.

a b c (Å): 3.553 4.965 10.638
angles (deg): 90.00 90.00 90.00
Space group Imm2 (No. 44)
Symmetry-distinct sites (fractional):
Ca 0.000 0.000 0.000 (multiplicity 2)
Ca 0.000 0.500 0.209 (multiplicity 2)
Mn 0.000 0.000 0.409 (multiplicity 2)
Rh 0.000 0.500 0.745 (multiplicity 2)

Results
The energy of formation from the pure elements is -1.2 kJ/mol of atoms.

No. 3
DFT (PBE-GGA) results for a geometry-optimized CeHo2Cd4 structure.

a b c (Å): 5.272 5.272 7.198
angles (deg): 90.00 90.00 90.00
Space group P4/mmm (No. 123)
Symmetry-distinct sites (fractional):
Ce 0.000 0.000 0.000 (multiplicity 1)
Ho 0.000 0.000 0.500 (multiplicity 1)
Ho 0.500 0.500 0.000 (multiplicity 1)
Cd 0.000 0.500 0.273 (multiplicity 4)

Results
The energy of formation from the pure elements is -6.5 kJ/mol of atoms.

No. 4
DFT (PBE-GGA) results for a geometry-optimized SmAl2Pt structure.

a b c (Å): 15.901 6.976 5.738
angles (deg): 90.00 90.00 90.00
Space group Pnma (No. 62)
Symmetry-distinct sites (fractional):
Sm 0.105 0.250 0.245 (multiplicity 4)
Sm 0.142 0.750 0.019 (multiplicity 4)
Al 0.039 0.056 0.734 (multiplicity 8)
Al 0.212 0.556 0.528 (multiplicity 8)
Pt 0.072 0.750 0.505 (multiplicity 4)
Pt 0.180 0.250 0.766 (multiplicity 4)

Results
The energy of formation from the pure elements is -90.4 kJ/mol of atoms.

No. 5
DFT (PBE-GGA) results for a geometry-optimized Li4Ta3WN8 structure.

a b c (Å): 6.1311 6.1311 15.3565
angles (deg): 90.00 90.00 120.00
Space group R-3m (No. 166, hexagonal axes)
Symmetry-distinct sites (fractional):
Li 0.0000 0.0000 0.0000 (multiplicity 3)
Li 0.0000 0.5000 0.0000 (multiplicity 9)
Ta 0.0000 0.5000 0.5000 (multiplicity 9)
W 0.0000 0.0000 0.5000 (multiplicity 3)
N 0.0000 0.0000 0.2401 (multiplicity 6)
N 0.0044 0.5022 0.2410 (multiplicity 18)

Results
The electronic total energy comes out at -411.52 eV/cell.

No. 6
DFT (PBE-GGA) results for a geometry-optimized Li2TaVHg structure.

a b c (Å): 4.712 4.712 4.574
angles (deg): 90.00 90.00 90.00
Space group P4/mmm (No. 123)
Symmetry-distinct sites (fractional):
Li 0.000 0.500 0.000 (multiplicity 2)
Ta 0.000 0.000 0.500 (multiplicity 1)
V 0.000 0.000 0.000 (multiplicity 1)
Hg 0.500 0.500 0.500 (multiplicity 1)

Results
The energy of formation from the pure elements is 99.3 kJ/mol of atoms.

No. 7
DFT (PBE-GGA) results for a geometry-optimized CsTlAs structure.

a b c (Å): 6.693 7.082 10.064
angles (deg): 90.00 105.82 90.00
Space group P2_1/c (No. 14)
Symmetry-distinct sites (fractional):
Cs 0.158 0.070 0.370 (multiplicity 4)
Tl 0.424 0.540 0.303 (multiplicity 4)
As 0.170 0.574 0.514 (multiplicity 4)

Results
The energy of formation from the pure elements is -20.5 kJ/mol of atoms.

No. 8
DFT (PBE-GGA) results for a geometry-optimized TbYHgPt structure.

a b c (Å): 7.225 7.225 7.225
angles (deg): 90.00 90.00 90.00
Space group F-43m (No. 216)
Symmetry-distinct sites (fractional):
Tb 0.000 0.000 0.000 (multiplicity 4)
Y 0.000 0.000 0.500 (multiplicity 4)
Hg 0.250 0.250 0.750 (multiplicity 4)
Pt 0.250 0.250 0.250 (multiplicity 4)

Results
The energy of formation from the pure elements is -78.4 kJ/mol of atoms.

No. 9
DFT (PBE-GGA) results for a geometry-optimized Mg2HgN structure.

a b c (Å): 6.428 6.428 6.428
angles (deg): 90.00 90.00 90.00
Space group Fm-3m (No. 225)
Symmetry-distinct sites (fractional):
Mg 0.250 0.250 0.250 (multiplicity 8)
Hg 0.000 0.000 0.000 (multiplicity 4)
N 0.000 0.000 0.500 (multiplicity 4)

Results
The electronic total energy comes out at -40.87 eV/cell.

No. 10
DFT (PBE-GGA) results for a geometry-optimized Sm6SeS3N2 structure.

a b c (Å): 17.073 3.850 7.954
angles (deg): 90.00 103.67 90.00
Space group C2/m (No. 12)
Symmetry-distinct sites (fractional):
Sm 0.021 0.000 0.274 (multiplicity 4)
Sm 0.175 0.500 0.127 (multiplicity 4)
Sm 0.178 0.500 0.565 (multiplicity 4)
Se 0.000 0.500 0.000 (multiplicity 2)
S 0.000 0.500 0.500 (multiplicity 2)
S 0.160 0.000 0.834 (multiplicity 4)
N 0.170 0.000 0.334 (multiplicity 4)

Results
The electronic total energy comes out at -164.56 eV/cell.

No. 11
DFT (PBE-GGA) results for a geometry-optimized Ta4Ga5 structure.

a b c (Å): 7.836 7.836 5.185
angles (deg): 90.00 90.00 90.00
Space group I4/m (No. 87)
Symmetry-distinct sites (fractional):
Ta 0.051 0.661 0.000 (multiplicity 8)
Ga 0.000 0.000 0.000 (multiplicity 2)
Ga 0.102 0.790 0.500 (multiplicity 8)

Results
The energy of formation from the pure elements is 8.7 kJ/mol of atoms.

No. 12
DFT (PBE-GGA) results for a geometry-optimized Sm4TlCdAg2 structure.

a b c (Å): 5.3368 5.3368 26.2963
angles (deg): 90.00 90.00 120.00
Space group R-3m (No. 166, hexagonal axes)
Symmetry-distinct sites (fractional):
Sm 0.0000 0.0000 0.1241 (multiplicity 6)
Sm 0.0000 0.0000 0.3744 (multiplicity 6)
Tl 0.0000 0.0000 0.5000 (multiplicity 3)
Cd 0.0000 0.0000 0.0000 (multiplicity 3)
Ag 0.0000 0.0000 0.2525 (multiplicity 6)

Results
The energy of formation from the pure elements is -29.0 kJ/mol of atoms.

No. 13
DFT (PBE-GGA) results for a geometry-optimized La6Bi2AsSe3 structure.

a b c (Å): 19.411 4.463 8.919
angles (deg): 90.00 102.80 90.00
Space group C2/m (No. 12)
Symmetry-distinct sites (fractional):
La 0.004 0.000 0.262 (multiplicity 4)
La 0.161 0.500 0.095 (multiplicity 4)
La 0.162 0.500 0.570 (multiplicity 4)
Bi 0.167 0.000 0.835 (multiplicity 4)
As 0.000 0.500 0.500 (multiplicity 2)
Se 0.000 0.500 0.000 (multiplicity 2)
Se 0.169 0.000 0.336 (multiplicity 4)

Results
The electronic total energy comes out at -143.37 eV/cell.

No. 14
DFT (PBE-GGA) results for a geometry-optimized Pu2InPd structure.

a b c (Å): 14.579 3.053 8.550
angles (deg): 90.00 91.38 90.00
Space group C2/m (No. 12)
Symmetry-distinct sites (fractional):
Pu 0.131 0.000 0.048 (multiplicity 4)
Pu 0.159 0.500 0.401 (multiplicity 4)
In 0.033 0.000 0.685 (multiplicity 4)
Pd 0.191 0.500 0.765 (multiplicity 4)

Results
The energy of formation from the pure elements is -16.5 kJ/mol of atoms.

No. 15
DFT (PBE-GGA) results for a geometry-optimized SrIn6Rh structure.

a b c (Å): 4.687 4.687 9.541
angles (deg): 90.00 90.00 90.00
Space group P4/mmm (No. 123)
Symmetry-distinct sites (fractional):
Sr 0.000 0.000 0.000 (multiplicity 1)
In 0.000 0.500 0.341 (multiplicity 4)
In 0.500 0.500 0.146 (multiplicity 2)
Rh 0.000 0.000 0.500 (multiplicity 1)

Results
The energy of formation from the pure elements is -27.2 kJ/mol of atoms.

No. 16
DFT (PBE-GGA) results for a geometry-optimized CePr12Sm2 structure.

a b c (Å): 6.656 6.656 25.684
angles (deg): 90.00 90.00 90.00
Space group P4/nbm (No. 125, origin choice 2)
Symmetry-distinct sites (fractional):
Ce 0.250 0.750 0.000 (multiplicity 2)
Pr 0.065 0.565 0.112 (multiplicity 8)
Pr 0.082 0.582 0.437 (multiplicity 8)
Pr 0.250 0.250 0.214 (multiplicity 4)
Pr 0.250 0.250 0.337 (multiplicity 4)
Sm 0.250 0.750 0.268 (multiplicity 4)

Results
The energy of formation from the pure elements is 31.0 kJ/mol of atoms.

No. 17
DFT (PBE-GGA) results for a geometry-optimized Li2AlH structure.

a b c (Å): 2.8352 2.8352 21.1591
angles (deg): 90.00 90.00 120.00
Space group R-3m (No. 166, hexagonal axes)
Symmetry-distinct sites (fractional):
Li 0.0000 0.0000 0.2209 (multiplicity 6)
Al 0.0000 0.0000 0.0000 (multiplicity 3)
H 0.0000 0.0000 0.5000 (multiplicity 3)

Results
The electronic total energy comes out at -35.34 eV/cell.

No. 18
DFT (PBE-GGA) results for a geometry-optimized ErNi2BRu structure.

a b c (Å): 4.004 4.004 4.152
angles (deg): 90.00 90.00 90.00
Space group P4/mmm (No. 123)
Symmetry-distinct sites (fractional):
Er 0.000 0.000 0.000 (multiplicity 1)
Ni 0.000 0.500 0.500 (multiplicity 2)
B 0.500 0.500 0.500 (multiplicity 1)
Ru 0.500 0.500 0.000 (multiplicity 1)

Results
The energy of formation from the pure elements is -48.2 kJ/mol of atoms.

No. 19
DFT (PBE-GGA) results for a geometry-optimized ZrInOs structure.

a b c (Å): 9.104 3.999 6.982
angles (deg): 90.00 90.00 90.00
Space group Pnma (No. 62)
Symmetry-distinct sites (fractional):
Zr 0.134 0.250 0.214 (multiplicity 4)
In 0.127 0.250 0.789 (multiplicity 4)
Os 0.098 0.750 0.483 (multiplicity 4)

Results
The energy of formation from the pure elements is -2.9 kJ/mol of atoms.

No. 20
DFT (PBE-GGA) results for a geometry-optimized CaAc6Pd4 structure.

a b c (Å): 6.471 6.472 9.457
angles (deg): 73.40 73.45 88.96
Space group P1 (No. 1)
Symmetry-distinct sites (fractional):
Ca 0.000 0.000 0.000 (multiplicity 1)
Ac 0.081 0.081 0.360 (multiplicity 1)
Ac 0.085 0.515 0.982 (multiplicity 1)
Ac 0.465 0.927 0.633 (multiplicity 1)
Ac 0.515 0.086 0.982 (multiplicity 1)
Ac 0.554 0.555 0.323 (multiplicity 1)
Ac 0.928 0.465 0.632 (multiplicity 1)
Pd 0.082 0.628 0.279 (multiplicity 1)
Pd 0.399 0.399 0.693 (multiplicity 1)
Pd 0.628 0.082 0.279 (multiplicity 1)
Pd 0.916 0.916 0.717 (multiplicity 1)

Results
The energy of formation from the pure elements is -43.1 kJ/mol of atoms.

No. 21
DFT (PBE-GGA) results for a geometry-optimized ZrSiAg2 structure.

a b c (Å): 3.145 4.932 9.445
angles (deg): 90.00 90.00 90.00
Space group Imm2 (No. 44)
Symmetry-distinct sites (fractional):
Zr 0.000 0.000 0.000 (multiplicity 2)
Si 0.000 0.500 0.262 (multiplicity 2)
Ag 0.000 0.000 0.548 (multiplicity 2)
Ag 0.000 0.500 0.783 (multiplicity 2)

Results
The electronic total energy comes out at -38.80 eV/cell.

No. 22
DFT (PBE-GGA) results for a geometry-optimized NbVFe4 structure.

a b c (Å): 6.713 6.713 6.713
angles (deg): 90.00 90.00 90.00
Space group F-43m (No. 216)
Symmetry-distinct sites (fractional):
Nb 0.000 0.000 0.000 (multiplicity 4)
V 0.250 0.250 0.250 (multiplicity 4)
Fe 0.125 0.125 0.625 (multiplicity 16)

Results
The energy of formation from the pure elements is -9.4 kJ/mol of atoms.